(1)
Here is an optimized crystal structure of Zr4PaTc5 from Alexandria via LeMat-Bulk. Energies are from PBE-GGA.

Lattice parameters (Å, degrees): 3.3380 3.3380 16.4918 90.00 90.00 90.00
Closest atoms and distances in Å follow each position.
Atoms (fractional coordinates):
Zr: 0.0000 0.0000 0.5987  8 Tc 2.87-2.89
Zr: 0.0000 0.0000 0.7942  8 Tc 2.83-2.97
Tc: 0.5000 0.5000 0.0968  4 Pa 2.85, 4 Zr 2.97
Tc: 0.5000 0.5000 0.9032  4 Pa 2.85, 4 Zr 2.97
Tc: 0.5000 0.5000 0.6996  8 Zr 2.83-2.89
Zr: 0.0000 0.0000 0.2058  8 Tc 2.83-2.97
Pa: 0.0000 0.0000 0.0000  8 Tc 2.85
Zr: 0.0000 0.0000 0.4013  8 Tc 2.87-2.89
Tc: 0.5000 0.5000 0.5000  8 Zr 2.87
Tc: 0.5000 0.5000 0.3004  8 Zr 2.83-2.89

Results
formation energy	-0.343	eV per atom


(2)
Here is an optimized crystal structure of ZrPa2Tc4 from Alexandria via LeMat-Bulk. Energies are from PBE-GGA.

Lattice parameters (Å, degrees): 5.6832 5.6832 5.6832 108.57 109.92 109.92
Closest atoms and distances in Å follow each position.
Atoms (fractional coordinates):
Tc: 0.0000 0.5000 0.0000  4 Pa 2.84, 2 Zr 2.84
Tc: 0.0000 0.0000 0.5000  4 Pa 2.84, 2 Zr 2.84
Tc: 0.5000 0.0000 0.0000  2 Zr 2.84, 4 Pa 2.84
Tc: 0.5000 0.5000 0.5000  2 Zr 2.84, 4 Pa 2.84
Pa: 0.5000 0.0000 0.5000  8 Tc 2.84
Pa: 0.5000 0.5000 0.0000  8 Tc 2.84
Zr: 0.0000 0.0000 0.0000  8 Tc 2.84

Results
formation energy	0.198	eV per atom


(3)
Here is an optimized crystal structure of Zr5PaTc6 from Alexandria via LeMat-Bulk. Energies are from PBE-GGA.

Lattice parameters (Å, degrees): 4.6959 6.6113 7.4024 90.00 108.48 90.00
Closest atoms and distances in Å follow each position.
Atoms (fractional coordinates):
Tc: 0.5000 0.7572 0.0000  2 Pa 2.84, 6 Zr 2.89-2.91
Zr: 0.3324 0.5000 0.6645  8 Tc 2.88-2.91
Tc: 0.5000 0.2428 0.0000  2 Pa 2.84, 6 Zr 2.89-2.91
Zr: 0.3289 0.0000 0.6578  8 Tc 2.84-2.89
Tc: 0.1630 0.2466 0.3265  1 Pa 2.81, 7 Zr 2.84-2.90
Tc: 0.8371 0.2465 0.6735  1 Pa 2.81, 7 Zr 2.84-2.91
Tc: 0.1629 0.7535 0.3265  1 Pa 2.81, 7 Zr 2.84-2.91
Tc: 0.8370 0.7534 0.6735  1 Pa 2.81, 7 Zr 2.84-2.90
Zr: 0.6676 0.5000 0.3355  8 Tc 2.88-2.91
Zr: 0.6711 0.0000 0.3422  8 Tc 2.84-2.89
Pa: 0.0000 0.0000 0.0000  8 Tc 2.81-2.84
Zr: 0.0000 0.5000 0.0000  8 Tc 2.84-2.90

Results
formation energy	-0.399	eV per atom


(4)
Here is an optimized crystal structure of ZrPaTc from Alexandria via LeMat-Bulk. Energies are from PBE-GGA.

Lattice parameters (Å, degrees): 3.4581 3.4581 5.7429 107.52 107.52 90.00
Closest atoms and distances in Å follow each position.
Atoms (fractional coordinates):
Pa: 0.0206 0.0206 0.0413  4 Tc 2.80
Tc: 0.6519 0.6519 0.3038  4 Pa 2.80, 4 Zr 3.05
Zr: 0.3275 0.3275 0.6550  5 Tc 3.05-3.37, 5 Pa 3.16-3.19

Results
formation energy	-0.177	eV per atom
relative energy among the computed polymorphs	0.000	eV/atom


(5)
Here is an optimized crystal structure of ZrPaTc4 from Alexandria via LeMat-Bulk. Energies are from PBE-GGA.

Lattice parameters (Å, degrees): 5.3450 5.3450 5.3450 60.00 60.00 60.00
Closest atoms and distances in Å follow each position.
Atoms (fractional coordinates):
Tc: 0.6244 0.6244 0.6244  6 Tc 2.66-2.69
Tc: 0.6244 0.6244 0.1268  6 Tc 2.66-2.69
Tc: 0.6244 0.1268 0.6244  6 Tc 2.66-2.69
Zr: 0.2500 0.2500 0.2500  12 Tc 3.13, 4 Pa 3.27
Pa: 0.0000 0.0000 0.0000  12 Tc 3.14, 4 Zr 3.27
Tc: 0.1268 0.6244 0.6244  6 Tc 2.66-2.69

Results
formation energy	-0.151	eV per atom


(6)
Here is an optimized crystal structure of Zr2PaTc from Alexandria via LeMat-Bulk. Energies are from PBE-GGA.

Lattice parameters (Å, degrees): 3.2717 3.2717 7.9879 90.00 90.00 90.00
Closest atoms and distances in Å follow each position.
Atoms (fractional coordinates):
Zr: 0.0000 0.0000 0.2018  4 Tc 2.82
Tc: 0.5000 0.5000 0.0000  8 Zr 2.82
Pa: 0.5000 0.5000 0.5000  4 Pa 3.27, 8 Zr 3.32
Zr: 0.0000 0.0000 0.7982  4 Tc 2.82

Results
formation energy	-0.117	eV per atom
relative energy among the computed polymorphs	0.021	eV/atom


(7)
Here is an optimized crystal structure of ZrPaTc from Alexandria via LeMat-Bulk. Energies are from PBE-GGA.

Lattice parameters (Å, degrees): 3.1397 4.6959 4.6959 120.00 90.00 90.00
Closest atoms and distances in Å follow each position.
Atoms (fractional coordinates):
Zr: 0.3237 0.3333 0.6667  3 Pa 2.92, 3 Tc 2.96, 2 Zr 3.14
Pa: 0.9779 0.0000 0.0000  3 Tc 2.85, 3 Zr 2.92, 2 Pa 3.14
Tc: 0.6984 0.6667 0.3333  3 Pa 2.85, 3 Zr 2.96, 2 Tc 3.14

Results
formation energy	-0.108	eV per atom
relative energy among the computed polymorphs	0.069	eV/atom


(8)
Here is an optimized crystal structure of Pa2Te5 from Alexandria via LeMat-Bulk. Energies are from PBE-GGA.

Lattice parameters (Å, degrees): 4.4780 4.4827 21.5174 90.00 95.97 90.00
Closest atoms and distances in Å follow each position.
Atoms (fractional coordinates):
Te: 0.7500 0.2500 0.4999  4 Te 3.17, 4 Pa 3.21
Te: 0.2500 0.7500 0.5001  4 Te 3.17, 4 Pa 3.21
Te: 0.8245 0.7500 0.6490  5 Pa 3.28-3.29
Te: 0.4529 0.7500 0.9058  2 Pa 3.15, 4 Te 3.17
Te: 0.5471 0.2500 0.0942  2 Pa 3.15, 4 Te 3.17
Te: 0.9529 0.2500 0.9058  2 Pa 3.15, 4 Te 3.17
Te: 0.0471 0.7500 0.0942  2 Pa 3.15, 4 Te 3.17
Te: 0.3784 0.2500 0.7568  5 Pa 3.19-3.31
Pa: 0.0988 0.2500 0.1976  9 Te 3.15-3.31
Te: 0.6216 0.7500 0.2432  5 Pa 3.19-3.31
Te: 0.1755 0.2500 0.3510  5 Pa 3.28-3.29
Pa: 0.3038 0.2500 0.6077  9 Te 3.19-3.29
Pa: 0.6962 0.7500 0.3923  9 Te 3.19-3.29
Pa: 0.9012 0.7500 0.8024  9 Te 3.15-3.31

Results
relative energy among the computed polymorphs	0.089	eV/atom


(9)
Here is an optimized crystal structure of Pa3Te from Alexandria via LeMat-Bulk. Energies are from PBE-GGA.

Lattice parameters (Å, degrees): 5.2207 5.2207 5.2207 60.00 60.00 60.00
Closest atoms and distances in Å follow each position.
Atoms (fractional coordinates):
Pa: 0.0000 0.0000 0.0000  8 Pa 3.20
Pa: 0.2500 0.2500 0.2500  4 Pa 3.20, 4 Te 3.20
Te: 0.5000 0.5000 0.5000  8 Pa 3.20
Pa: 0.7500 0.7500 0.7500  4 Te 3.20, 4 Pa 3.20

Results
relative energy among the computed polymorphs	0.399	eV/atom


(10)
Here is an optimized crystal structure of PaTe2 from Alexandria via LeMat-Bulk. Energies are from PBE-GGA.

Lattice parameters (Å, degrees): 4.3505 7.3823 7.3824 90.00 90.00 90.01
Closest atoms and distances in Å follow each position.
Atoms (fractional coordinates):
Te: 0.0000 0.7952 0.7952  3 Pa 3.05-3.08
Te: 0.5000 0.7049 0.2951  3 Pa 3.05-3.08
Te: 0.5000 0.2951 0.7049  3 Pa 3.05-3.08
Pa: 0.5000 0.0000 0.0000  6 Te 3.05-3.08
Pa: 0.0000 0.5000 0.5000  6 Te 3.05-3.08
Te: 0.0000 0.2048 0.2048  3 Pa 3.05-3.08


(11)
Here is an optimized crystal structure of Pa5Te from Alexandria via LeMat-Bulk. Energies are from PBE-GGA.

Lattice parameters (Å, degrees): 4.4917 4.6634 7.4461 108.25 90.00 90.00
Closest atoms and distances in Å follow each position.
Atoms (fractional coordinates):
Pa: 0.0000 0.3386 0.6772  10 Pa 3.20-3.42, 2 Te 3.26
Pa: 0.0000 0.6614 0.3228  10 Pa 3.20-3.42, 2 Te 3.26
Pa: 0.5000 0.8351 0.6702  2 Te 3.24, 10 Pa 3.24-3.35
Pa: 0.5000 0.1649 0.3298  2 Te 3.24, 10 Pa 3.24-3.35
Pa: 0.5000 0.5000 0.0000  8 Pa 3.20-3.30, 4 Te 3.24
Te: 0.0000 0.0000 0.0000  12 Pa 3.24-3.26


(12)
Here is an optimized crystal structure of Pa3Te from Alexandria via LeMat-Bulk. Energies are from PBE-GGA.

Lattice parameters (Å, degrees): 3.3865 5.2904 5.5833 90.00 90.00 90.00
Closest atoms and distances in Å follow each position.
Atoms (fractional coordinates):
Pa: 0.5000 0.5000 0.8559  4 Te 3.21-3.32, 8 Pa 3.22-3.39
Pa: 0.5000 0.0000 0.4817  4 Te 3.23, 8 Pa 3.25-3.39
Pa: 0.0000 0.0000 0.9851  10 Pa 3.22-3.39, 2 Te 3.32
Te: 0.0000 0.5000 0.3439  10 Pa 3.21-3.32, 2 Te 3.39

Results
relative energy among the computed polymorphs	0.129	eV/atom


| no. | E_tot (eV per atom) |
| --- | --- |
| 1 | -9.90 |
| 2 | -9.66 |
| 3 | -9.93 |
| 4 | -9.65 |
| 5 | -10.07 |
| 6 | -9.36 |
| 7 | -9.58 |
| 8 | -5.64 |
| 9 | -7.87 |
| 10 | -5.92 |
| 11 | -8.64 |
| 12 | -8.14 |